VASP calculation (PBE-GGA) on a geometry-optimized Sr2TlCu2 structure.

Unit cell a=5.775 b=5.775 c=5.775 alpha=117.00 beta=117.00 gamma=95.28
Fractional coordinates of all 5 atoms:
Sr1 0.250 0.750 0.500
Sr2 0.750 0.250 0.500
Tl1 0.000 0.000 0.000
Cu1 0.350 0.350 0.000
Cu2 0.650 0.650 0.000

Calculated density = 5.9 Mg/m³
Size of the total moment = 0.00 μB/cell
Symmetry = No. 139
Total DFT energy (no corrections) = -14.14 eV/f.u.

VASP calculation (PBE-GGA) on a geometry-optimized SrTlCu3 structure.

Unit cell a=5.637 b=5.637 c=5.637 alpha=90.00 beta=90.00 gamma=90.00
Fractional coordinates of all 5 atoms:
Sr1 0.000 0.000 0.000
Tl1 0.500 0.500 0.500
Cu1 0.000 0.000 0.500
Cu2 0.000 0.500 0.000
Cu3 0.500 0.000 0.000

Calculated density = 4.5 Mg/m³
Size of the total moment = 0.00 μB/cell
Symmetry = No. 221
Total DFT energy (no corrections) = -11.21 eV/f.u.

VASP calculation (PBE-GGA) on a geometry-optimized SrTlCu2 structure.

Unit cell a=5.545 b=5.545 c=5.545 alpha=132.21 beta=132.21 gamma=69.90
Fractional coordinates of all 4 atoms:
Sr1 0.000 0.000 0.000
Tl1 0.250 0.750 0.500
Cu1 0.500 0.500 0.000
Cu2 0.750 0.250 0.500

Calculated density = 7.6 Mg/m³
Size of the total moment = 0.00 μB/cell
Symmetry = No. 119
Total DFT energy (no corrections) = -11.53 eV/f.u.

VASP calculation (PBE-GGA) on a geometry-optimized SrTl3Cu structure.

Unit cell a=6.321 b=6.321 c=6.321 alpha=90.00 beta=90.00 gamma=90.00
Fractional coordinates of all 5 atoms:
Sr1 0.000 0.000 0.000
Tl1 0.000 0.000 0.500
Tl2 0.000 0.500 0.000
Tl3 0.500 0.000 0.000
Cu1 0.500 0.500 0.500

Calculated density = 5.0 Mg/m³
Size of the total moment = 0.00 μB/cell
Symmetry = No. 221
Total DFT energy (no corrections) = -8.07 eV/f.u.

VASP calculation (PBE-GGA) on a geometry-optimized Sr6TlCu2 structure.

Unit cell a=9.544 b=9.544 c=9.544 alpha=112.91 beta=110.52 gamma=105.08
Fractional coordinates of all 18 atoms:
Sr1 0.044 0.238 0.806
Sr2 0.183 0.284 0.467
Sr3 0.183 0.716 0.899
Sr4 0.325 0.022 0.696
Sr5 0.325 0.629 0.304
Sr6 0.432 0.238 0.194
Sr7 0.568 0.762 0.806
Sr8 0.675 0.371 0.696
Sr9 0.675 0.978 0.304
Sr10 0.817 0.284 0.101
Sr11 0.817 0.716 0.533
Sr12 0.956 0.762 0.194
Tl1 0.000 0.000 0.000
Tl2 0.500 0.500 0.000
Cu1 0.108 0.608 0.500
Cu2 0.377 0.000 0.377
Cu3 0.623 0.000 0.623
Cu4 0.892 0.392 0.500

Calculated density = 4.3 Mg/m³
Size of the total moment = 0.00 μB/cell
Symmetry = No. 71
Total DFT energy (no corrections) = -21.77 eV/f.u.

VASP calculation (PBE-GGA) on a geometry-optimized SrTlCu structure.

Unit cell a=4.765 b=4.765 c=4.181 alpha=90.00 beta=90.00 gamma=120.00
Fractional coordinates of all 3 atoms:
Sr1 0.000 0.000 0.000
Tl1 0.667 0.333 0.500
Cu1 0.333 0.667 0.499

Calculated density = 7.2 Mg/m³
Size of the total moment = 0.00 μB/cell
Symmetry = No. 156
Total DFT energy (no corrections) = -8.68 eV/f.u.